Record 1
A relaxed structure of Y4TaIn, computed with PBE.

Structure (POSCAR):
```
Y4TaIn
1.0
0.000 4.342 4.342
4.342 0.000 4.342
4.342 4.342 0.000
Y Ta In
4 1 1
Cartesian
3.269 3.269 3.269
5.416 5.416 3.269
5.416 3.269 5.416
3.269 5.416 5.416
6.513 6.513 6.513
0.000 0.000 0.000
```

## Properties
total DFT energy (no corrections)	-6.1363	eV/atom
energy of formation from the pure elements	0.60	eV per atom
space-group type	No. 216

Record 2
A relaxed structure of Y2TaIn, computed with PBE.

Structure (POSCAR):
```
Y2TaIn
1.0
-2.271 2.271 4.744
2.271 -2.271 4.744
2.271 2.271 -4.744
Y Ta In
2 1 1
Cartesian
0.000 0.000 0.000
0.000 2.271 2.372
0.000 0.000 4.744
2.271 0.000 2.372
```

## Properties
total DFT energy (no corrections)	-6.7867	eV/atom
energy of formation from the pure elements	0.09	eV per atom
space-group type	No. 119